--- a ---
The following is a DFT calculation (PBE-GGA) of a relaxed structure of CaAl3Ga. Values from VASP.

Calculated values
The size of the total moment comes out at 0.0 μB per formula unit. As for the mass density: 3.07 g/cm³. As for the crystal system: monoclinic. For the density of states at the Fermi level, the calculation gives 0.211 states/eV per atom.

Quantum ESPRESSO input file:
```
&SYSTEM
  ibrav = 0, nat = 5, ntyp = 3
/
ATOMIC_SPECIES
Ca 40.08 Ca.upf
Al 26.98 Al.upf
Ga 69.72 Ga.upf
CELL_PARAMETERS angstrom
4.068 0.003 1.408
-0.481 4.039 1.410
0.086 0.090 6.351
ATOMIC_POSITIONS angstrom
Ca 1.620 0.919 6.561
Al 2.225 3.889 4.834
Al 0.424 1.871 3.423
Al 2.934 2.407 2.756
Ga -0.274 3.365 5.470
```

---

--- b ---
The following is a DFT calculation (PBE-GGA) of a relaxed structure of CaAl3Ga. Values from VASP.

Calculated values
The size of the total moment comes out at 0.0 μB per formula unit. As for the mass density: 1.78 g/cm³. As for the crystal system: cubic. For the density of states at the Fermi level, the calculation gives 0.775 states/eV per atom.

Quantum ESPRESSO input file:
```
&SYSTEM
  ibrav = 0, nat = 5, ntyp = 3
/
ATOMIC_SPECIES
Ca 40.08 Ca.upf
Al 26.98 Al.upf
Ga 69.72 Ga.upf
CELL_PARAMETERS angstrom
5.627 0.000 0.000
0.000 5.627 0.000
0.000 0.000 5.627
ATOMIC_POSITIONS angstrom
Ca 0.000 0.000 0.000
Al 0.000 2.814 0.000
Al 0.000 0.000 2.814
Al 2.814 0.000 0.000
Ga 2.814 2.814 2.814
```

---

--- c ---
The following is a DFT calculation (PBE-GGA) of a relaxed structure of CaAl3Ga. Values from VASP.

Calculated values
The size of the total moment comes out at 0.0 μB per formula unit. As for the mass density: 2.56 g/cm³. As for the crystal system: cubic. For the density of states at the Fermi level, the calculation gives 0.580 states/eV per atom.

Quantum ESPRESSO input file:
```
&SYSTEM
  ibrav = 0, nat = 5, ntyp = 3
/
ATOMIC_SPECIES
Ca 40.08 Ca.upf
Al 26.98 Al.upf
Ga 69.72 Ga.upf
CELL_PARAMETERS angstrom
-3.448 1.791 -3.121
-3.325 -3.238 1.815
-1.376 3.338 3.435
ATOMIC_POSITIONS angstrom
Ca -4.074 0.946 1.064
Al -1.663 -1.619 0.908
Al -0.688 1.669 1.717
Al -1.724 0.895 -1.561
Ga 0.000 0.000 0.000
```

---

Q: Which of them is the least stable? A: b.

---

--- a ---
The following is a DFT calculation (PBE-GGA) of a relaxed structure of SrCaAlGa. Values from VASP.

Calculated values
The size of the total moment comes out at 0.0 μB per formula unit. As for the mass density: 3.36 g/cm³. As for the crystal system: cubic. For the density of states at the Fermi level, the calculation gives 0.520 states/eV per atom.

Quantum ESPRESSO input file:
```
&SYSTEM
  ibrav = 0, nat = 4, ntyp = 4
/
ATOMIC_SPECIES
Sr 87.62 Sr.upf
Ca 40.08 Ca.upf
Al 26.98 Al.upf
Ga 69.72 Ga.upf
CELL_PARAMETERS angstrom
-4.251 2.110 2.557
-4.790 -2.460 -0.251
-2.006 -2.446 4.365
ATOMIC_POSITIONS angstrom
Sr -5.524 -1.397 3.335
Ca 0.000 0.000 0.000
Al -8.285 -2.096 5.003
Ga -2.762 -0.699 1.668
```

---

--- b ---
The following is a DFT calculation (PBE-GGA) of a relaxed structure of SrCaAlGa. Values from VASP.

Calculated values
The size of the total moment comes out at 0.0 μB per formula unit. As for the mass density: 3.14 g/cm³. As for the crystal system: orthorhombic. For the density of states at the Fermi level, the calculation gives 0.579 states/eV per atom.

Quantum ESPRESSO input file:
```
&SYSTEM
  ibrav = 0, nat = 4, ntyp = 4
/
ATOMIC_SPECIES
Sr 87.62 Sr.upf
Ca 40.08 Ca.upf
Al 26.98 Al.upf
Ga 69.72 Ga.upf
CELL_PARAMETERS angstrom
4.344 0.000 0.000
0.000 4.479 0.000
-2.172 0.000 6.108
ATOMIC_POSITIONS angstrom
Sr 2.172 2.239 2.969
Ca 0.000 0.000 0.413
Al 0.000 2.239 5.578
Ga 0.000 0.000 4.106
```

---

Q: Which of them is the least stable? A: a.

---

--- a ---
The following is a DFT calculation (PBE-GGA) of a relaxed structure of Ca3Al2Ge2. Values from VASP.

Calculated values
The size of the total moment comes out at 0.0 μB per formula unit. As for the mass density: 3.00 g/cm³. As for the crystal system: monoclinic. For the density of states at the Fermi level, the calculation gives 0.356 states/eV per atom.

Quantum ESPRESSO input file:
```
&SYSTEM
  ibrav = 0, nat = 7, ntyp = 3
/
ATOMIC_SPECIES
Ca 40.08 Ca.upf
Al 26.98 Al.upf
Ge 72.64 Ge.upf
CELL_PARAMETERS angstrom
-0.620 2.808 3.443
-1.593 -5.625 1.378
7.670 1.116 0.472
ATOMIC_POSITIONS angstrom
Ca 1.663 -2.313 2.186
Ca 3.795 0.612 3.107
Ca -0.310 1.404 1.722
Al -0.953 -1.132 3.674
Al 6.411 -0.569 1.619
Ge 2.916 -1.822 4.934
Ge 2.541 0.121 0.359
```

---

--- b ---
The following is a DFT calculation (PBE-GGA) of a relaxed structure of Ca3Al2Ge2. Values from VASP.

Calculated values
The size of the total moment comes out at 0.0 μB per formula unit. As for the mass density: 3.02 g/cm³. As for the crystal system: orthorhombic. For the density of states at the Fermi level, the calculation gives 0.297 states/eV per atom.

Quantum ESPRESSO input file:
```
&SYSTEM
  ibrav = 0, nat = 7, ntyp = 3
/
ATOMIC_SPECIES
Ca 40.08 Ca.upf
Ge 72.64 Ge.upf
Al 26.98 Al.upf
CELL_PARAMETERS angstrom
-6.396 -4.957 5.557
-1.533 -3.517 9.036
2.374 6.794 -6.675
ATOMIC_POSITIONS angstrom
Ca 0.000 0.000 0.000
Ca -1.052 0.065 3.890
Ca -4.503 -1.744 4.027
Ge -2.385 -1.360 6.344
Ge -3.170 -0.320 1.573
Al -3.425 -3.660 6.304
Al -4.504 -4.813 8.289
```

---

Q: Which of them is the least stable? A: a.

---

--- a ---
The following is a DFT calculation (PBE-GGA) of a relaxed structure of Ca2AlH. Values from VASP.

Calculated values
The size of the total moment comes out at 0.0 μB per formula unit. As for the mass density: 2.11 g/cm³. As for the crystal system: tetragonal. For the density of states at the Fermi level, the calculation gives 0.527 states/eV per atom.

Quantum ESPRESSO input file:
```
&SYSTEM
  ibrav = 0, nat = 4, ntyp = 3
/
ATOMIC_SPECIES
H 1.01 H.upf
Ca 40.08 Ca.upf
Al 26.98 Al.upf
CELL_PARAMETERS angstrom
3.313 0.000 0.000
0.000 3.313 0.000
0.000 0.000 7.768
ATOMIC_POSITIONS angstrom
H 1.656 1.656 0.000
Ca 0.000 0.000 6.025
Ca 0.000 0.000 1.743
Al 1.656 1.656 3.884
```

---

--- b ---
The following is a DFT calculation (PBE-GGA) of a relaxed structure of Ca2AlH. Values from VASP.

Calculated values
The size of the total moment comes out at 0.0 μB per formula unit. As for the mass density: 1.85 g/cm³. As for the crystal system: cubic. For the density of states at the Fermi level, the calculation gives 0.801 states/eV per atom.

Quantum ESPRESSO input file:
```
&SYSTEM
  ibrav = 0, nat = 4, ntyp = 3
/
ATOMIC_SPECIES
H 1.01 H.upf
Ca 40.08 Ca.upf
Al 26.98 Al.upf
CELL_PARAMETERS angstrom
0.815 -4.118 2.999
-1.499 0.067 4.936
-3.979 -2.907 1.527
ATOMIC_POSITIONS angstrom
H 0.000 0.000 0.000
Ca -1.166 -1.740 2.365
Ca -3.497 -5.219 7.096
Al -2.332 -3.479 4.731
```

---

--- c ---
The following is a DFT calculation (PBE-GGA) of a relaxed structure of Ca2AlH. Values from VASP.

Calculated values
The size of the total moment comes out at 0.0 μB per formula unit. As for the mass density: 1.89 g/cm³. As for the crystal system: tetragonal. For the density of states at the Fermi level, the calculation gives 0.413 states/eV per atom.

Quantum ESPRESSO input file:
```
&SYSTEM
  ibrav = 0, nat = 8, ntyp = 3
/
ATOMIC_SPECIES
H 1.01 H.upf
Ca 40.08 Ca.upf
Al 26.98 Al.upf
CELL_PARAMETERS angstrom
-4.804 -4.788 1.914
1.063 -3.479 -6.036
0.870 -6.212 -0.381
ATOMIC_POSITIONS angstrom
H -1.871 -4.134 -2.061
H 0.031 -6.912 -4.239
Ca -2.163 -4.493 0.151
Ca -0.208 -4.813 -3.434
Ca -0.643 -8.113 -2.447
Ca -2.730 -11.538 -3.279
Al 0.000 0.000 0.000
Al -2.903 -7.567 -0.264
```

---

--- d ---
The following is a DFT calculation (PBE-GGA) of a relaxed structure of Ca2AlH. Values from VASP.

Calculated values
The size of the total moment comes out at 0.0 μB per formula unit. As for the mass density: 1.90 g/cm³. As for the crystal system: monoclinic. For the density of states at the Fermi level, the calculation gives 0.314 states/eV per atom.

Quantum ESPRESSO input file:
```
&SYSTEM
  ibrav = 0, nat = 4, ntyp = 3
/
ATOMIC_SPECIES
Ca 40.08 Ca.upf
Al 26.98 Al.upf
H 1.01 H.upf
CELL_PARAMETERS angstrom
3.360 0.000 0.000
0.000 3.766 0.260
0.000 -0.530 7.429
ATOMIC_POSITIONS angstrom
Ca 0.000 1.483 5.802
Ca 0.000 1.752 1.887
Al 1.680 -0.265 3.714
H 1.680 1.883 0.130
```

---

Q: Which of them is the least stable? A: b.